This record from Alexandria describes CoRe2O6 after structural relaxation. The functional is GGA+U.

Computed properties:
SG = P4_2/mnm, No. 136
Raw total energy = -8.0104 eV/atom

Cell lengths 4.7770, 4.7770, 8.4820 Å; angles 90.00, 90.00, 90.00 degrees
Each line ends with the local moment (μB).
Element x y z (fractional)
Co (0.5000, 0.5000, 0.1667)  2.53
Co (0.0000, 0.0000, 0.6667)  2.53
Re (0.5000, 0.5000, 0.5127)  -0.13
Re (0.5000, 0.5000, 0.8207)  -0.13
Re (0.0000, 0.0000, 0.0127)  -0.13
Re (0.0000, 0.0000, 0.3206)  -0.13
O (0.2188, 0.7812, 0.1667)  -0.01
O (0.2132, 0.7868, 0.4902)  0.02
O (0.2132, 0.7868, 0.8432)  0.02
O (0.7812, 0.2188, 0.1667)  -0.01
O (0.7868, 0.2132, 0.4902)  0.02
O (0.7868, 0.2132, 0.8432)  0.02
O (0.2868, 0.2868, 0.3432)  0.02
O (0.2812, 0.2812, 0.6667)  -0.01
O (0.2868, 0.2868, 0.9901)  0.02
O (0.7132, 0.7132, 0.9901)  0.02
O (0.7132, 0.7132, 0.3432)  0.02
O (0.7188, 0.7188, 0.6667)  -0.01